# PBE-GGA ZrTcSb, relaxed
# Distance to the lowest polymorph of the same formula = 0.610 eV per atom
# DFT total energy = -87.7 eV/cell
# Fermi-level density of states = 1.0135 states/eV/atom
data_ZrTcSb
_cell_length_a 6.531
_cell_length_b 6.531
_cell_length_c 6.531
_cell_angle_alpha 90.00
_cell_angle_beta 90.00
_cell_angle_gamma 90.00
_symmetry_space_group_name_H-M 'F -4 3 m'
_symmetry_Int_Tables_number 216
_symmetry_space_group_name_Hall 'F -4 2 3'
loop_
_atom_site_label
_atom_site_type_symbol
_atom_site_fract_x
_atom_site_fract_y
_atom_site_fract_z
Zr1 Zr 0.000 0.000 0.000
Tc1 Tc 0.250 0.250 0.250
Sb1 Sb 0.250 0.250 0.750


# PBE-GGA Zr2TcSb, relaxed
# DFT total energy = -125.6 eV/cell
# Fermi-level density of states = 0.7259 states/eV/atom
data_Zr2TcSb
_cell_length_a 7.712
_cell_length_b 7.712
_cell_length_c 5.831
_cell_angle_alpha 90.00
_cell_angle_beta 90.00
_cell_angle_gamma 90.00
_symmetry_space_group_name_H-M 'I -4 2 d'
_symmetry_Int_Tables_number 122
_symmetry_space_group_name_Hall 'I -4 2bw'
loop_
_atom_site_label
_atom_site_type_symbol
_atom_site_fract_x
_atom_site_fract_y
_atom_site_fract_z
Zr1 Zr 0.207 0.250 0.125
Tc1 Tc 0.000 0.000 0.000
Sb1 Sb 0.000 0.000 0.500


# PBE-GGA Zr2TcSb, relaxed
# DFT total energy = -97.3 eV/cell
# Fermi-level density of states = 0.6097 states/eV/atom
data_Zr2TcSb
_cell_length_a 3.3784
_cell_length_b 3.3784
_cell_length_c 25.7881
_cell_angle_alpha 90.00
_cell_angle_beta 90.00
_cell_angle_gamma 120.00
_symmetry_space_group_name_H-M 'R -3 m'
_symmetry_Int_Tables_number 166
_symmetry_space_group_name_Hall '-R 3 2"'
loop_
_atom_site_label
_atom_site_type_symbol
_atom_site_fract_x
_atom_site_fract_y
_atom_site_fract_z
Zr1 Zr 0.0000 0.0000 0.2411
Tc1 Tc 0.0000 0.0000 0.5000
Sb1 Sb 0.0000 0.0000 0.0000


# PBE-GGA ZrTcSb, relaxed
# Distance to the lowest polymorph of the same formula = 0.022 eV per atom
# DFT total energy = -47.3 eV/cell
# Fermi-level density of states = 0.6521 states/eV/atom
data_ZrTcSb
_cell_length_a 3.299
_cell_length_b 3.299
_cell_length_c 10.698
_cell_angle_alpha 90.00
_cell_angle_beta 90.00
_cell_angle_gamma 90.00
_symmetry_space_group_name_H-M 'I 4 m m'
_symmetry_Int_Tables_number 107
_symmetry_space_group_name_Hall 'I 4 -2'
loop_
_atom_site_label
_atom_site_type_symbol
_atom_site_fract_x
_atom_site_fract_y
_atom_site_fract_z
Zr1 Zr 0.000 0.000 0.000
Tc1 Tc 0.000 0.000 0.661
Sb1 Sb 0.000 0.000 0.298


# PBE-GGA Zr2TcSb, relaxed
# DFT total energy = -66.6 eV/cell
# Fermi-level density of states = 0.3761 states/eV/atom
data_Zr2TcSb
_cell_length_a 4.383
_cell_length_b 3.561
_cell_length_c 10.665
_cell_angle_alpha 90.00
_cell_angle_beta 90.00
_cell_angle_gamma 90.00
_symmetry_space_group_name_H-M 'A m m 2'
_symmetry_Int_Tables_number 38
_symmetry_space_group_name_Hall 'A 2 -2'
loop_
_atom_site_label
_atom_site_type_symbol
_atom_site_fract_x
_atom_site_fract_y
_atom_site_fract_z
Zr1 Zr 0.000 0.000 0.000
Zr2 Zr 0.500 0.000 0.302
Tc1 Tc 0.000 0.000 0.753
Sb1 Sb 0.500 0.000 0.580


# PBE-GGA ZrTc3Sb, relaxed
# Distance to the lowest polymorph of the same formula = 0.000 eV per atom
# DFT total energy = -37.0 eV/cell
# Fermi-level density of states = 1.0851 states/eV/atom
data_ZrTc3Sb
_cell_length_a 4.777
_cell_length_b 4.777
_cell_length_c 4.777
_cell_angle_alpha 90.00
_cell_angle_beta 90.00
_cell_angle_gamma 90.00
_symmetry_space_group_name_H-M 'P m -3 m'
_symmetry_Int_Tables_number 221
_symmetry_space_group_name_Hall '-P 4 2 3'
loop_
_atom_site_label
_atom_site_type_symbol
_atom_site_fract_x
_atom_site_fract_y
_atom_site_fract_z
Zr1 Zr 0.000 0.000 0.000
Tc1 Tc 0.000 0.500 0.500
Sb1 Sb 0.500 0.500 0.500


# PBE-GGA Zr2TcSb, relaxed
# DFT total energy = -33.1 eV/cell
# Fermi-level density of states = 0.9049 states/eV/atom
data_Zr2TcSb
_cell_length_a 3.584
_cell_length_b 3.597
_cell_length_c 6.245
_cell_angle_alpha 90.00
_cell_angle_beta 90.00
_cell_angle_gamma 90.00
_symmetry_space_group_name_H-M 'P m m m'
_symmetry_Int_Tables_number 47
_symmetry_space_group_name_Hall '-P 2 2'
loop_
_atom_site_label
_atom_site_type_symbol
_atom_site_fract_x
_atom_site_fract_y
_atom_site_fract_z
Zr1 Zr 0.000 0.000 0.239
Tc1 Tc 0.500 0.500 0.000
Sb1 Sb 0.500 0.500 0.500


# PBE-GGA ZrTcSb, relaxed
# Distance to the lowest polymorph of the same formula = 0.267 eV per atom
# DFT total energy = -22.9 eV/cell
# Fermi-level density of states = 0.9820 states/eV/atom
data_ZrTcSb
_cell_length_a 3.3248
_cell_length_b 3.3248
_cell_length_c 6.4538
_cell_angle_alpha 90.00
_cell_angle_beta 90.00
_cell_angle_gamma 120.00
_symmetry_space_group_name_H-M 'P 3 m 1'
_symmetry_Int_Tables_number 156
_symmetry_space_group_name_Hall 'P 3 -2"'
loop_
_atom_site_label
_atom_site_type_symbol
_atom_site_fract_x
_atom_site_fract_y
_atom_site_fract_z
Zr1 Zr 0.0000 0.0000 0.0000
Tc1 Tc 0.3333 0.6667 0.7016
Sb1 Sb 0.6667 0.3333 0.3862


# PBE-GGA Zr4TcSb, relaxed
# DFT total energy = -186.1 eV/cell
# Fermi-level density of states = 1.4147 states/eV/atom
data_Zr4TcSb
_cell_length_a 7.981
_cell_length_b 7.981
_cell_length_c 7.981
_cell_angle_alpha 90.00
_cell_angle_beta 90.00
_cell_angle_gamma 90.00
_symmetry_space_group_name_H-M 'F -4 3 m'
_symmetry_Int_Tables_number 216
_symmetry_space_group_name_Hall 'F -4 2 3'
loop_
_atom_site_label
_atom_site_type_symbol
_atom_site_fract_x
_atom_site_fract_y
_atom_site_fract_z
Zr1 Zr 0.124 0.124 0.376
Tc1 Tc 0.250 0.250 0.750
Sb1 Sb 0.000 0.000 0.000


# PBE-GGA Zr2TcSb, relaxed
# DFT total energy = -32.9 eV/cell
# Fermi-level density of states = 0.7247 states/eV/atom
data_Zr2TcSb
_cell_length_a 4.354
_cell_length_b 4.354
_cell_length_c 4.149
_cell_angle_alpha 90.00
_cell_angle_beta 90.00
_cell_angle_gamma 90.00
_symmetry_space_group_name_H-M 'P 4/m m m'
_symmetry_Int_Tables_number 123
_symmetry_space_group_name_Hall '-P 4 2'
loop_
_atom_site_label
_atom_site_type_symbol
_atom_site_fract_x
_atom_site_fract_y
_atom_site_fract_z
Zr1 Zr 0.000 0.500 0.000
Tc1 Tc 0.000 0.000 0.500
Sb1 Sb 0.500 0.500 0.500


# PBE-GGA Zr2TcSb, relaxed
# DFT total energy = -65.8 eV/cell
# Fermi-level density of states = 0.7633 states/eV/atom
data_Zr2TcSb
_cell_length_a 3.962
_cell_length_b 4.748
_cell_length_c 8.509
_cell_angle_alpha 90.00
_cell_angle_beta 90.00
_cell_angle_gamma 90.00
_symmetry_space_group_name_H-M 'I m m m'
_symmetry_Int_Tables_number 71
_symmetry_space_group_name_Hall '-I 2 2'
loop_
_atom_site_label
_atom_site_type_symbol
_atom_site_fract_x
_atom_site_fract_y
_atom_site_fract_z
Zr1 Zr 0.000 0.000 0.227
Tc1 Tc 0.000 0.500 0.500
Sb1 Sb 0.000 0.500 0.000


# PBE-GGA Sb3Te, relaxed
# Distance to the lowest polymorph of the same formula = 0.077 eV per atom
# DFT total energy = -60.6 eV/cell
# Fermi-level density of states = 0.5125 states/eV/atom
data_Sb3Te
_cell_length_a 7.374
_cell_length_b 7.994
_cell_length_c 8.457
_cell_angle_alpha 90.00
_cell_angle_beta 90.00
_cell_angle_gamma 90.00
_symmetry_space_group_name_H-M 'P n m a'
_symmetry_Int_Tables_number 62
_symmetry_space_group_name_Hall '-P 2ac 2n'
loop_
_atom_site_label
_atom_site_type_symbol
_atom_site_fract_x
_atom_site_fract_y
_atom_site_fract_z
Sb1 Sb 0.084 0.250 0.121
Sb2 Sb 0.242 0.510 0.870
Te1 Te 0.087 0.250 0.620


These records have energy relative to the elements, uncorrected values of 1.124, 0.183, -0.857, -0.638, -1.708, 6.802, -1.516, 0.097, 2.154, -1.302, -1.333, 0.364 eV per formula unit, in the order they appear.